VASP calculation (PBE) on a geometry-optimized CaNp2PaAs4 structure.

Summary:
crystal system: monoclinic
DOS(E_F): 2.82 states/eV/atom

Geometry as POSCAR:
```
CaNp2PaAs4
1.0
4.138 0.000 0.000
0.000 7.167 -0.147
0.000 2.517 6.696
Ca Np Pa As
1 2 1 4
Direct
0.500 0.500 0.000
0.000 0.000 0.000
0.500 0.000 0.500
0.000 0.500 0.500
0.000 0.756 0.740
0.000 0.244 0.260
0.500 0.750 0.254
0.500 0.250 0.746
```

=====

VASP calculation (PBE) on a geometry-optimized TlAsBr2 structure.

Summary:
crystal system: trigonal
excess energy over the best structure of this formula in the dataset: 391 meV per atom
formation energy (no corrections): 129 meV per atom
DOS(E_F): 0.85 states/eV/atom

Geometry as POSCAR:
```
TlAsBr2
1.0
2.047 0.000 10.469
-1.024 1.773 10.469
-1.024 -1.773 10.469
Tl As Br
1 1 2
Direct
0.000 0.000 0.000
0.500 0.500 0.500
0.901 0.901 0.901
0.099 0.099 0.099
```

=====

VASP calculation (PBE) on a geometry-optimized SmY3Al4 structure.

Summary:
crystal system: tetragonal
DOS(E_F): 0.44 states/eV/atom

Geometry as POSCAR:
```
SmY3Al4
1.0
-0.602 -1.417 -4.884
5.149 -5.071 0.836
-7.133 -6.774 2.844
Y Al Sm
6 8 2
Direct
0.000 0.000 0.000
0.000 0.000 0.500
0.500 0.000 0.750
0.500 0.000 0.250
0.500 0.500 0.750
0.500 0.500 0.250
0.500 0.754 0.000
0.500 0.754 0.500
0.500 0.246 0.000
0.500 0.246 0.500
0.000 0.754 0.750
0.000 0.754 0.250
0.000 0.246 0.250
0.000 0.246 0.750
0.000 0.500 0.000
0.000 0.500 0.500
```

=====

VASP calculation (PBE) on a geometry-optimized GeSb2Pb structure.

Summary:
crystal system: tetragonal
excess energy over the best structure of this formula in the dataset: 76 meV per atom
formation energy (no corrections): 199 meV per atom
DOS(E_F): 0.57 states/eV/atom

Geometry as POSCAR:
```
GeSb2Pb
1.0
3.683 0.000 0.000
0.000 3.683 0.000
0.000 0.000 7.792
Pb Sb Ge
1 2 1
Direct
0.500 0.500 0.500
0.000 0.000 0.789
0.000 0.000 0.211
0.500 0.500 0.000
```

=====

VASP calculation (PBE) on a geometry-optimized SrMgTe4 structure.

Summary:
crystal system: cubic
formation energy (no corrections): -180 meV per atom
DOS(E_F): 0.51 states/eV/atom

Geometry as POSCAR:
```
SrMgTe4
1.0
-3.996 -4.526 -2.467
-5.087 1.791 -3.668
0.011 -1.216 -6.408
Sr Mg Te
1 1 4
Direct
0.000 0.000 0.000
0.750 0.750 0.750
0.873 0.376 0.376
0.376 0.376 0.873
0.376 0.873 0.376
0.376 0.376 0.376
```

=====

VASP calculation (PBE) on a geometry-optimized SmSi2NiOs structure.

Summary:
crystal system: tetragonal
formation energy (no corrections): -757 meV per atom
DOS(E_F): 0.40 states/eV/atom

Geometry as POSCAR:
```
SmSi2NiOs
1.0
4.014 0.000 0.000
0.000 4.014 0.000
-2.007 -2.007 5.079
Sm Si Ni Os
1 2 1 1
Direct
0.000 0.000 0.000
0.625 0.625 0.250
0.375 0.375 0.750
0.250 0.750 0.500
0.750 0.250 0.500
```

=====

VASP calculation (PBE) on a geometry-optimized BaAlRh3 structure.

Summary:
crystal system: cubic
excess energy over the best structure of this formula in the dataset: 0 meV per atom
DOS(E_F): 0.96 states/eV/atom

Geometry as POSCAR:
```
BaAlRh3
1.0
4.699 0.000 0.000
0.000 4.699 0.000
0.000 0.000 4.699
Rh Ba Al
3 1 1
Direct
0.000 0.500 0.000
0.000 0.000 0.500
0.500 0.000 0.000
0.500 0.500 0.500
0.000 0.000 0.000
```

=====

VASP calculation (PBE) on a geometry-optimized CePrPt2 structure.

Summary:
crystal system: trigonal
excess energy over the best structure of this formula in the dataset: 112 meV per atom
DOS(E_F): 1.32 states/eV/atom

Geometry as POSCAR:
```
CePrPt2
1.0
4.095 0.000 0.000
2.047 3.546 0.000
2.047 1.182 7.158
Ce Pr Pt
1 1 2
Direct
0.669 0.669 0.993
0.497 0.497 0.508
0.079 0.079 0.762
0.254 0.254 0.237
```

=====

VASP calculation (PBE) on a geometry-optimized KP2SO structure.

Summary:
crystal system: tetragonal
excess energy over the best structure of this formula in the dataset: 102 meV per atom
formation energy (no corrections): 507 meV per atom
DOS(E_F): 0.46 states/eV/atom

Geometry as POSCAR:
```
KP2SO
1.0
4.715 0.000 0.000
0.000 4.715 0.000
0.000 0.000 4.266
P K S O
2 1 1 1
Direct
0.000 0.500 0.000
0.500 0.000 0.000
0.500 0.500 0.500
0.000 0.000 0.000
0.000 0.000 0.500
```

=====

VASP calculation (PBE) on a geometry-optimized TlCu2Ag structure.

Summary:
crystal system: tetragonal
excess energy over the best structure of this formula in the dataset: 51 meV per atom
DOS(E_F): 0.21 states/eV/atom

Geometry as POSCAR:
```
TlCu2Ag
1.0
5.098 0.003 0.000
2.000 4.689 0.000
-3.549 -2.346 2.809
Ag Cu Tl
1 2 1
Direct
0.750 0.250 0.500
0.000 0.000 0.000
0.250 0.750 0.500
0.500 0.500 0.000
```

=====

VASP calculation (PBE) on a geometry-optimized Zn2BiO6 structure.

Summary:
crystal system: tetragonal
formation energy (no corrections): -565 meV per atom
DOS(E_F): 0.97 states/eV/atom

Geometry as POSCAR:
```
Zn2BiO6
1.0
-2.230 -0.403 -4.266
4.252 -0.806 -2.147
-1.064 -9.467 1.450
Zn Bi O
4 2 12
Direct
0.000 0.000 0.335
0.000 0.000 0.665
0.500 0.500 0.835
0.500 0.500 0.165
0.000 0.000 0.000
0.500 0.500 0.500
0.315 0.315 0.000
0.685 0.685 0.000
0.185 0.815 0.500
0.815 0.185 0.500
0.303 0.303 0.326
0.697 0.697 0.674
0.697 0.697 0.326
0.197 0.803 0.826
0.197 0.803 0.174
0.303 0.303 0.674
0.803 0.197 0.174
0.803 0.197 0.826
```

=====

VASP calculation (PBE) on a geometry-optimized BaCa2Au structure.

Summary:
crystal system: tetragonal
excess energy over the best structure of this formula in the dataset: 52 meV per atom
DOS(E_F): 1.01 states/eV/atom

Geometry as POSCAR:
```
BaCa2Au
1.0
-0.216 -2.602 2.766
3.796 -0.241 0.069
0.335 7.264 6.859
Ca Au Ba
2 1 1
Direct
0.000 0.000 0.081
0.000 0.000 0.419
0.500 0.500 0.250
0.500 0.500 0.750
```

=====

VASP calculation (PBE) on a geometry-optimized AcCeAl2Si structure.

Summary:
crystal system: orthorhombic
formation energy (no corrections): -361 meV per atom
DOS(E_F): 1.18 states/eV/atom

Geometry as POSCAR:
```
AcCeAl2Si
1.0
4.457 0.000 0.000
0.000 4.651 0.000
-2.228 -2.325 6.141
Ac Ce Al Si
1 1 2 1
Direct
0.438 0.438 0.876
0.199 0.699 0.397
0.685 0.185 0.370
0.047 0.047 0.094
0.844 0.844 0.687
```

=====

VASP calculation (PBE) on a geometry-optimized La2Cu structure.

Summary:
crystal system: hexagonal
DOS(E_F): 0.98 states/eV/atom

Geometry as POSCAR:
```
La2Cu
1.0
2.600 -4.503 0.000
2.600 4.503 0.000
0.000 0.000 6.529
La Cu
4 2
Direct
0.667 0.333 0.026
0.667 0.333 0.474
0.333 0.667 0.526
0.333 0.667 0.974
0.000 0.000 0.250
0.000 0.000 0.750
```

=====

VASP calculation (PBE) on a geometry-optimized Y2ZrBr structure.

Summary:
crystal system: orthorhombic
excess energy over the best structure of this formula in the dataset: 284 meV per atom
formation energy (no corrections): -189 meV per atom
DOS(E_F): 1.16 states/eV/atom

Geometry as POSCAR:
```
Y2ZrBr
1.0
-4.244 -4.476 -2.301
1.677 -3.765 -5.133
0.971 1.973 6.205
Y Br Zr
2 1 1
Direct
0.022 0.022 0.000
0.730 0.230 0.500
0.270 0.770 0.500
0.479 0.479 0.000
```

=====

VASP calculation (PBE) on a geometry-optimized Hg3Ge structure.

Summary:
crystal system: hexagonal
excess energy over the best structure of this formula in the dataset: 61 meV per atom
DOS(E_F): 0.32 states/eV/atom

Geometry as POSCAR:
```
Hg3Ge
1.0
3.351 -5.804 0.000
3.351 5.804 0.000
0.000 0.000 4.876
Hg Ge
6 2
Direct
0.170 0.341 0.250
0.659 0.830 0.250
0.170 0.830 0.250
0.830 0.659 0.750
0.341 0.170 0.750
0.830 0.170 0.750
0.333 0.667 0.750
0.667 0.333 0.250
```

=====

VASP calculation (PBE) on a geometry-optimized Pm2Er3Sn2 structure.

Summary:
crystal system: monoclinic
DOS(E_F): 1.26 states/eV/atom

Geometry as POSCAR:
```
Pm2Er3Sn2
1.0
-2.434 2.342 -2.928
-0.390 -6.265 -1.275
-5.553 1.957 6.183
Pm Er Sn
2 3 2
Direct
0.864 0.728 0.210
0.136 0.272 0.790
0.500 0.000 0.000
0.625 0.250 0.439
0.375 0.750 0.561
0.831 0.662 0.797
0.169 0.338 0.203
```

=====

VASP calculation (PBE) on a geometry-optimized Ta2MnCl structure.

Summary:
crystal system: monoclinic
excess energy over the best structure of this formula in the dataset: 453 meV per atom
formation energy (no corrections): 405 meV per atom
DOS(E_F): 0.69 states/eV/atom

Geometry as POSCAR:
```
Ta2MnCl
1.0
-0.517 3.819 -2.980
-2.791 3.821 -1.159
1.861 4.150 2.320
Cl Mn Ta
1 1 2
Direct
0.480 0.480 0.413
0.772 0.772 0.799
0.024 0.024 0.969
0.224 0.224 0.319
```

=====

VASP calculation (PBE) on a geometry-optimized NbH2Ir structure.

Summary:
crystal system: trigonal
excess energy over the best structure of this formula in the dataset: 198 meV per atom
DOS(E_F): 0.51 states/eV/atom

Geometry as POSCAR:
```
NbH2Ir
1.0
-2.505 1.024 1.379
-2.740 -0.734 -1.087
-1.811 -3.970 3.002
H Nb Ir
2 1 1
Direct
0.130 0.130 0.611
0.870 0.870 0.389
0.000 0.000 0.000
0.500 0.500 0.500
```

=====

VASP calculation (PBE) on a geometry-optimized SrGa2Ru2 structure.

Summary:
crystal system: tetragonal
DOS(E_F): 0.88 states/eV/atom

Geometry as POSCAR:
```
SrGa2Ru2
1.0
4.241 0.000 0.000
0.000 4.241 0.000
2.121 2.121 5.445
Ru Ga Sr
2 2 1
Direct
0.750 0.250 0.500
0.250 0.750 0.500
0.373 0.373 0.254
0.627 0.627 0.746
0.000 0.000 0.000
```

=====

It is found that the total DFT energy (no corrections) values, taken in the order of the records, are -7.8981; -2.4615; -5.2912; -3.9432; -2.8206; -7.2726; -5.5616; -6.6866; -3.6933; -3.1137; -4.5845; -2.6824; -4.9511; -4.4246; -5.9763; -1.1385; -4.9174; -8.2756; -6.2393; -5.4692 eV per atom.